1.
## CaLaTcP2 (GGA-PBEsol)

Data for a geometry-optimized CaLaTcP2 structure.

Results
energy relative to the elements: 1605 meV/atom
ρ: 3.449 Mg/m³
symmetry: P4/mmm (123)

abc: 5.2661 5.2661 5.8838
angles: 90.00 90.00 90.00
Last column: nearest neighbours and their distance in Å.
Positions (direct):
1 Ca 0.0000 0.0000 0.5000  2 La 2.94
2 Tc 0.5000 0.5000 0.5000  4 Ca 3.72, 8 P 3.95
3 La 0.0000 0.0000 0.0000  4 P 2.63, 2 Ca 2.94
4 P 0.5000 0.0000 0.0000  2 La 2.63
5 P 0.0000 0.5000 0.0000  2 La 2.63


2.
## CaLa2TeP (GGA-PBEsol)

Data for a geometry-optimized CaLa2TeP structure.

Results
uncorrected formation energy: -0.855 eV/atom
ρ: 4.949 Mg/m³
symmetry: P4/mmm (123)

abc: 5.2263 5.5306 5.5306
angles: 90.00 90.00 90.00
Last column: nearest neighbours and their distance in Å.
Positions (direct):
1 Te 0.5000 0.5000 0.5000  8 La 3.80, 4 Ca 3.91
2 La 0.0000 0.0000 0.5000  2 P 2.77
3 La 0.0000 0.5000 0.0000  2 P 2.77
4 Ca 0.5000 0.0000 0.0000  2 P 2.61
5 P 0.0000 0.0000 0.0000  2 Ca 2.61, 4 La 2.77


3.
## CaLa2Pb (GGA-PBEsol)

Data for a geometry-optimized CaLa2Pb structure.

Results
energy relative to the elements: -357 meV/atom
ρ: 7.019 Mg/m³
symmetry: P4/mmm (123)

abc: 4.9450 4.9450 5.0801
angles: 90.00 90.00 90.00
Last column: nearest neighbours and their distance in Å.
Positions (direct):
1 La 0.5000 0.0000 0.0000  4 La 3.50, 4 Ca 3.54, 4 Pb 3.54
2 La 0.0000 0.5000 0.0000  4 La 3.50, 4 Pb 3.54, 4 Ca 3.54
3 Ca 0.0000 0.0000 0.5000  4 Pb 3.50, 8 La 3.54
4 Pb 0.5000 0.5000 0.5000  4 Ca 3.50, 8 La 3.54


4.
## CaLa2Pb (GGA-PBEsol)

Data for a geometry-optimized CaLa2Pb structure.

Results
energy relative to the elements: -331 meV/atom
ρ: 7.093 Mg/m³
symmetry: I4/mmm (139)

abc: 4.8596 4.8596 6.2370
angles: 112.93 112.93 90.00
Last column: nearest neighbours and their distance in Å.
Positions (direct):
1 Ca 0.0000 0.0000 0.0000  4 Pb 3.44, 8 La 3.56
2 La 0.7500 0.2500 0.5000  4 La 3.44, 4 Pb 3.56, 4 Ca 3.56
3 La 0.2500 0.7500 0.5000  4 La 3.44, 4 Pb 3.56, 4 Ca 3.56
4 Pb 0.5000 0.5000 0.0000  4 Ca 3.44, 8 La 3.56


Question: Look up the ρ of the second one.
Answer: 4.949 Mg/m³


Question: Among the records above, which one has the highest ρ?
Answer: number 4